K3DySi2O7 (GGA-PBE, optimized geometry); formation energy (no corrections) = -35.2 eV per formula unit; M_tot = 0.00 μB per atom; calculated total energy = -6.8226 eV per atom
1.0
9.9566 0.0000 0.0000
-4.9783 8.6227 0.0000
0.0000 0.0000 14.4947
O K Si Dy
42 18 12 6
Cartesian
-0.8821 1.5279 9.3913
0.8281 4.1159 1.3288
3.1504 2.7751 1.3288
4.0609 0.0000 10.8710
5.8064 4.5068 1.3288
-1.8279 5.8476 5.9185
5.9781 1.3408 5.9185
8.1923 0.0000 2.1440
-0.8281 4.1159 8.5762
-0.9998 7.2819 8.5762
-2.0304 3.5168 10.8710
0.8821 1.5279 2.1440
-4.0961 7.0947 2.1440
1.8279 5.8476 8.5762
0.8281 4.1159 5.9185
0.9998 7.2819 5.9185
0.9998 7.2819 1.3288
4.0961 7.0947 12.3507
3.9785 1.3408 13.1659
6.8062 2.7751 13.1659
1.8279 5.8476 13.1659
1.7643 0.0000 12.3507
-2.9479 5.1058 3.6237
-0.8821 1.5279 12.3507
5.8064 4.5068 5.9185
2.0304 3.5168 3.6237
1.7643 0.0000 9.3913
5.9781 1.3408 1.3288
8.1923 0.0000 5.1033
4.1502 4.5068 8.5762
3.9785 1.3408 8.5762
6.8062 2.7751 8.5762
3.1504 2.7751 5.9185
-0.9998 7.2819 13.1659
0.8821 1.5279 5.1033
2.9479 5.1058 10.8710
4.0961 7.0947 9.3913
-0.8281 4.1159 13.1659
-1.8279 5.8476 1.3288
-4.0961 7.0947 5.1033
4.1502 4.5068 13.1659
5.8957 0.0000 3.6237
3.3254 5.7597 5.9204
4.9783 2.8742 10.8710
0.0000 0.0000 7.2473
1.6529 2.8629 8.5743
3.3058 0.0000 1.3270
3.3058 0.0000 5.9204
-3.3254 5.7597 8.5743
6.6507 0.0000 13.1677
-1.6529 2.8629 1.3270
0.0000 5.7484 3.6237
-3.3254 5.7597 13.1677
6.6507 0.0000 8.5743
-1.6529 2.8629 5.9204
1.6529 2.8629 13.1677
0.0000 5.7484 10.8710
3.3254 5.7597 1.3270
4.9783 2.8742 3.6237
0.0000 0.0000 0.0000
6.5555 0.0000 5.1775
-1.7006 2.9455 9.3172
-3.2777 5.6772 5.1775
3.4011 0.0000 12.4248
3.2777 5.6772 12.4248
-1.7006 2.9455 12.4248
-3.2777 5.6772 2.0698
3.4011 0.0000 9.3172
1.7006 2.9455 2.0698
1.7006 2.9455 5.1775
3.2777 5.6772 9.3172
6.5555 0.0000 2.0698
0.0000 0.0000 3.6237
4.9783 2.8742 7.2473
0.0000 5.7484 0.0000
0.0000 0.0000 10.8710
0.0000 5.7484 7.2473
4.9783 2.8742 0.0000